Material: Cd2FePb
Method: DFT, PBE
State: relaxed

The calculation puts the total magnetization at 0.63 μB per atom. As for the crystal system: tetragonal. Its formation energy is 0.33 eV/atom. For the energy, the calculation gives -12.69 eV/cell. For the density of states at the Fermi level, the calculation gives 2.988 states/eV/f.u.

The structure belongs to space group P4mm (No. 99); the cell edges are 3.1212, 3.1212 and 8.9534 Å and the angles 90.00°, 90.00° and 90.00°. Symmetry generates all atoms from Cd at (0.0000, 0.0000, 0.0000), Cd at (0.5000, 0.5000, 0.2558), Fe at (0.0000, 0.0000, 0.4508) and Pb at (0.5000, 0.5000, 0.6785).